Here is a relaxed SiGe2BiPt crystal from the Alexandria database. Energies are from GGA-PBE.

Lattice parameters (Å, degrees): 4.716 4.716 5.867 90.00 90.00 90.00
Atoms (fractional coordinates):
Si 0.000 0.000 0.000
Ge 0.000 0.500 0.500
Ge 0.500 0.000 0.500
Bi 0.500 0.500 0.000
Pt 0.500 0.500 0.500

Results
Size of the total moment = 0.00 μB per formula unit
DOS at the Fermi energy = 0.559 states/eV per atom
Crystal system = tetragonal
E_form (uncorrected) = 0.5500 eV per atom